1.
4
Lattice="3.055 0.000 0.000 0.000 3.055 0.000 0.000 0.000 7.749" Properties=species:S:1:pos:R:3 comment="PBE MnAl2Te, relaxed" dft_energy_ev_per_atom=-4.81 magnetic_moment_mub_per_cell=0.0 sg=P4mm pbc="T T T"
Mn 0.000 0.000 0.000
Al 0.000 0.000 4.465
Al 1.527 1.527 6.304
Te 1.527 1.527 1.503

2.
8
Lattice="-3.033 3.033 5.912 3.033 -3.033 5.912 3.033 3.033 -5.912" Properties=species:S:1:pos:R:3 comment="PBE MnAlTe2, relaxed" dft_energy_ev_per_atom=-4.56 magnetic_moment_mub_per_cell=0.0 sg=I-42d pbc="T T T"
Mn 0.000 0.000 0.000
Mn 0.000 3.033 2.956
Al 3.033 0.000 2.956
Al 0.000 0.000 5.912
Te 4.550 1.333 -1.478
Te 1.333 1.517 1.478
Te -1.517 1.700 4.434
Te 1.700 1.517 7.390